No. 1
Compound: Th5BiTe5
Source: the Alexandria database
Functional: GGA-PBE
Structure: relaxed

Values from the calculation:
Magnetization in μB/f.u.: 0.000
E_tot in eV/atom: -6.155

a = 14.0579 Å, b = 6.3186 Å, c = 8.8388 Å
α = 90.00°, β = 108.06°, γ = 90.00°
Space group C2/m (No. 12)
Symmetry-distinct sites (fractional):
Th (0.0000, 0.0000, 0.0000) x2
Th (0.1687, 0.5000, 0.3372) x4
Th (0.1780, 0.5000, 0.8375) x4
Bi (0.0000, 0.5000, 0.0000) x2
Te (0.0000, 0.5000, 0.5000) x2
Te (0.1527, 0.0000, 0.3453) x4
Te (0.1555, 0.0000, 0.8107) x4

No. 2
Compound: ReTcAu2
Source: the Alexandria database
Functional: GGA-PBE
Structure: relaxed

Values from the calculation:
Magnetization in μB/f.u.: 0.405
E_tot in eV/atom: -6.828
E_form in kJ/mol of atoms: 49.6

a = 2.8167 Å, b = 2.8167 Å, c = 28.1956 Å
α = 90.00°, β = 90.00°, γ = 120.00°
Space group R-3m (No. 166, hexagonal axes)
Symmetry-distinct sites (fractional):
Re (0.0000, 0.0000, 0.0000) x3
Tc (0.0000, 0.0000, 0.5000) x3
Au (0.0000, 0.0000, 0.2498) x6

No. 3
Compound: Er3Ag3SbSe8
Source: the Alexandria database
Functional: GGA-PBE
Structure: relaxed

Values from the calculation:
Magnetization in μB/f.u.: 0.000
E_tot in eV/atom: -4.571

a = 13.9600 Å, b = 8.2031 Å, c = 8.1086 Å
α = 90.00°, β = 124.44°, γ = 90.00°
Space group C2/m (No. 12)
Symmetry-distinct sites (fractional):
Er (0.0000, 0.0000, 0.0000) x2
Er (0.2500, 0.2500, 0.5000) x4
Ag (0.0000, 0.5000, 0.5000) x2
Ag (0.2500, 0.2500, 0.0000) x4
Sb (0.0000, 0.5000, 0.0000) x2
Se (0.0014, 0.2545, 0.2432) x8
Se (0.2440, 0.5000, 0.2478) x4
Se (0.2473, 0.0000, 0.2535) x4

No. 4
Compound: Ba3Mg
Source: the Alexandria database
Functional: GGA-PBE
Structure: relaxed

Values from the calculation:
Magnetization in μB/f.u.: 0.000
E_tot in eV/atom: -1.769
E_form in kJ/mol of atoms: 7.0

a = 9.2639 Å, b = 9.2639 Å, c = 9.2639 Å
α = 90.00°, β = 90.00°, γ = 90.00°
Space group Fm-3m (No. 225)
Symmetry-distinct sites (fractional):
Ba (0.0000, 0.0000, 0.0000) x4
Ba (0.2500, 0.2500, 0.2500) x8
Mg (0.0000, 0.0000, 0.5000) x4

> Which formula does entry 3 have?

Er3Ag3SbSe8

> What is the formula in the fourth record?

Ba3Mg

> Which of these has the lowest E_tot?

ReTcAu2